Density functional theory data (PBEsol) for CoHgN2 after structural relaxation.

## Properties
SG: R-3m, No. 166
Raw total energy, eV/atom: -5.0063
E_form (uncorrected), eV per atom: 1.333

abc: 3.3070 3.3070 6.1362
angles: 74.37 74.37 60.00
Site moments in Bohr magnetons follow the coordinates.
Element x y z (fractional)
Co  0.0000  0.0000  0.0000  1.22
Hg  0.5000  0.5000  0.5000  -0.02
N  0.9021  0.9021  0.2937  -0.06
N  0.0979  0.0979  0.7063  -0.06

---

Density functional theory data (PBEsol) for CoHgN2 after structural relaxation.

## Properties
SG: I-42d, No. 122
Raw total energy, eV/atom: -5.6869
E_form (uncorrected), eV per atom: 0.652

abc: 5.0769 5.3071 5.0769
angles: 118.57 90.00 118.57
Element x y z (fractional)
Co  0.7500  0.5000  0.2500
Co  0.5000  0.0000  0.5000
Hg  0.2500  0.5000  0.7500
Hg  0.0000  0.0000  0.0000
N  0.7736  0.2500  0.8750
N  0.4764  0.2500  0.3750
N  0.6250  0.7500  0.2264
N  0.1250  0.7500  0.5236

---

Density functional theory data (PBEsol) for CoHgN3 after structural relaxation.

## Properties
SG: Pm-3m, No. 221
Raw total energy, eV/atom: -5.3013
E_form (uncorrected), eV per atom: 1.476

abc: 3.7822 3.7822 3.7822
angles: 90.00 90.00 90.00
Site moments in Bohr magnetons follow the coordinates.
Element x y z (fractional)
Co  0.0000  0.0000  0.0000  1.15
Hg  0.5000  0.5000  0.5000  0.06
N  0.0000  0.5000  0.0000  0.81
N  0.0000  0.0000  0.5000  0.81
N  0.5000  0.0000  0.0000  0.81